DFT (PBE) results for a relaxed Y6Pt2Se3S crystal.

```
12
Lattice="-1.363 -5.488 4.115 6.292 0.680 -2.976 0.579 5.166 5.118" Properties=species:S:1:pos:R:3 pbc="T T T"
Y 5.448 1.386 3.590
Y 0.061 -1.027 2.668
Y 3.789 -2.346 2.050
Y 2.864 -0.695 5.983
Y 1.719 2.704 4.208
Y 2.644 1.054 0.275
Se 0.176 -1.898 5.517
Se 5.332 2.257 0.741
Se 2.754 0.179 3.129
Pt 3.742 -1.374 -0.614
Pt 1.187 -3.433 1.754
S 0.000 0.000 0.000
```

Computed properties:
- Density: 6.767 g cm⁻³
- Total DFT energy (no corrections): -7.0716 eV per atom
- Size of the total moment: 0.000 μB/f.u.
- Formation energy from raw total energies: -19.41 eV per formula unit

=====

DFT (PBE) results for a relaxed ZrPt2SeS crystal.

```
5
Lattice="4.478 0.000 0.000 0.000 4.951 0.000 0.000 0.000 4.478" Properties=species:S:1:pos:R:3 pbc="T T T"
Zr 2.239 2.476 2.239
Pt 0.000 0.000 2.239
Pt 2.239 0.000 0.000
S 0.000 0.000 0.000
Se 0.000 2.476 0.000
```

Computed properties:
- Density: 9.908 g cm⁻³
- Total DFT energy (no corrections): -5.4908 eV per atom
- Size of the total moment: 0.227 μB/f.u.
- Formation energy from raw total energies: 0.79 eV per formula unit

=====

DFT (PBE) results for a relaxed SiPtS2 crystal.

```
8
Lattice="-1.402 4.731 2.224 -4.556 0.024 -2.922 -5.400 -0.105 3.406" Properties=species:S:1:pos:R:3 pbc="T T T"
S -6.394 1.705 2.222
S -9.153 4.081 2.014
S -4.406 0.694 -0.643
S -2.762 2.819 1.822
Si -6.467 1.148 0.067
Si -2.979 2.378 -0.349
Pt -4.890 3.502 2.640
Pt 0.000 0.000 0.000
```

Computed properties:
- Density: 6.372 g cm⁻³
- Total DFT energy (no corrections): -4.9717 eV per atom
- Size of the total moment: 0.000 μB/f.u.
- Formation energy from raw total energies: -0.17 eV per formula unit

=====

Which value of density does entry 2 give?
9.908 g cm⁻³

=====

Repeat the second record exactly.
DFT (PBE) results for a relaxed ZrPt2SeS crystal.

```
5
Lattice="4.478 0.000 0.000 0.000 4.951 0.000 0.000 0.000 4.478" Properties=species:S:1:pos:R:3 pbc="T T T"
Zr 2.239 2.476 2.239
Pt 0.000 0.000 2.239
Pt 2.239 0.000 0.000
S 0.000 0.000 0.000
Se 0.000 2.476 0.000
```

Computed properties:
- Density: 9.908 g cm⁻³
- Total DFT energy (no corrections): -5.4908 eV per atom
- Size of the total moment: 0.227 μB/f.u.
- Formation energy from raw total energies: 0.79 eV per formula unit